The following is a PBE calculation of a relaxed AcNi crystal, from Alexandria.

ρ = 9.3 g/cm3
SG = P2_1/m, No. 11
magnetic moment = 0.00 μB per formula unit
total DFT energy (no corrections) = -5.200 eV/atom

abc: 4.0381 4.4225 6.0819
angles: 90.00 109.24 90.00
Closest atoms and distances in Å follow each position.
Sites, in units of the cell vectors:
Ni  0.0695  0.7500  0.1381  2 Ni 2.72
Ni  0.9305  0.2500  0.8619  2 Ni 2.72
Ac  0.3661  0.7500  0.7314  7 Ni 3.08-3.41
Ac  0.6339  0.2500  0.2686  7 Ni 3.08-3.41


The following is a PBE calculation of a relaxed TbDy6Tl2 crystal, from Alexandria.

ρ = 7.6 g/cm3
SG = I-42m, No. 121
distance to the lowest polymorph of the same formula = 6.50 eV/f.u.
magnetic moment = 0.00 μB per formula unit
total DFT energy (no corrections) = -3.533 eV/atom

abc: 5.6550 5.6550 11.2464
angles: 104.56 104.56 90.00
Closest atoms and distances in Å follow each position.
Sites, in units of the cell vectors:
Dy  0.7408  0.7408  0.8646  1 Tb 2.85, 1 Tl 3.02, 1 Dy 3.06
Dy  0.2592  0.8762  0.1354  1 Tb 2.85, 1 Tl 3.02, 1 Dy 3.06
Dy  0.8762  0.2592  0.1354  1 Tb 2.85, 1 Tl 3.02, 1 Dy 3.06
Dy  0.2500  0.7500  0.5000  4 Tl 3.08
Dy  0.1238  0.1238  0.8646  1 Tb 2.85, 1 Tl 3.02, 1 Dy 3.06
Dy  0.7500  0.2500  0.5000  4 Tl 3.08
Tl  0.1916  0.1916  0.3832  6 Dy 3.02-3.08
Tl  0.8084  0.8084  0.6168  6 Dy 3.02-3.08
Tb  0.5000  0.5000  0.0000  4 Dy 2.85


The following is a PBE calculation of a relaxed AcTb7Tm3 crystal, from Alexandria.

ρ = 8.1 g/cm3
SG = P3m1, No. 156
magnetic moment = 0.00 μB per formula unit
total DFT energy (no corrections) = -4.323 eV/atom

abc: 8.6320 7.1135 7.1135
angles: 120.00 90.00 90.00
Closest atoms and distances in Å follow each position.
Sites, in units of the cell vectors:
Tb  0.4510  0.8319  0.6637  7 Tb 3.52-3.59, 2 Tm 3.54, 2 Ac 3.56
Tb  0.1116  0.1672  0.8328  2 Tm 3.48, 1 Ac 3.54, 8 Tb 3.55-3.58
Tb  0.1116  0.1672  0.3343  2 Tm 3.48, 1 Ac 3.54, 8 Tb 3.55-3.58
Tb  0.1116  0.6657  0.8328  2 Tm 3.48, 1 Ac 3.54, 8 Tb 3.55-3.58
Tb  0.4510  0.3363  0.1681  7 Tb 3.52-3.59, 2 Tm 3.54, 2 Ac 3.56
Tb  0.4510  0.8319  0.1681  7 Tb 3.52-3.59, 2 Tm 3.54, 2 Ac 3.56
Tb  0.1178  0.6667  0.3333  3 Tm 3.50, 9 Tb 3.52-3.56
Tm  0.7876  0.9955  0.4977  5 Tb 3.48-3.54, 4 Tm 3.51-3.60, 1 Ac 3.61
Tm  0.7876  0.5023  0.0045  5 Tb 3.48-3.54, 4 Tm 3.51-3.60, 1 Ac 3.61
Tm  0.7876  0.5023  0.4977  5 Tb 3.48-3.54, 4 Tm 3.51-3.60, 1 Ac 3.61
Ac  0.4466  0.3333  0.6667  9 Tb 3.54-3.56, 3 Tm 3.61


The following is a PBE calculation of a relaxed Te3HPd crystal, from Alexandria.

ρ = 5.4 g/cm3
SG = Pm-3m, No. 221
distance to the lowest polymorph of the same formula = 4.09 eV/f.u.
magnetic moment = 1.05 μB per formula unit
total DFT energy (no corrections) = -2.852 eV/atom

abc: 5.3322 5.3322 5.3322
angles: 90.00 90.00 90.00
Closest atoms and distances in Å follow each position.
Sites, in units of the cell vectors:
Te  0.5000  0.0000  0.0000  2 Pd 2.67
Te  0.0000  0.0000  0.5000  2 Pd 2.67
Te  0.0000  0.5000  0.0000  2 Pd 2.67
Pd  0.0000  0.0000  0.0000  6 Te 2.67
H  0.5000  0.5000  0.5000  12 Te 3.77